A.
The following is a GGA-PBE calculation of a geometry-optimized BaMoPb2 structure, from Alexandria via LeMat-Bulk.

Values from the calculation:
As for the symmetry: C2/m, No. 12. As for the density: 8.450 Mg/m³.

Cell and atoms, written as CIF:
```
data_BaMoPb2
_chemical_formula_sum 'Ba1 Mo1 Pb2'
_space_group_name_H-M_alt 'P 1'
_space_group_IT_number 1
_space_group_name_Hall 'P 1'
_cell_length_a 4.739
_cell_length_b 4.739
_cell_length_c 7.090
_cell_angle_alpha 109.62
_cell_angle_beta 109.62
_cell_angle_gamma 60.15
loop_
_atom_site_label
_atom_site_fract_x
_atom_site_fract_y
_atom_site_fract_z
_atom_site_occupancy
Ba1 0.000 0.000 0.000 1
Mo1 0.500 0.500 0.500 1
Pb1 0.220 0.220 0.659 1
Pb2 0.780 0.780 0.341 1
```

B.
The following is a GGA-PBE calculation of a geometry-optimized BaMoPb2 structure, from Alexandria via LeMat-Bulk.

Values from the calculation:
As for the symmetry: Cm, No. 8. As for the density: 8.112 Mg/m³.

Cell and atoms, written as CIF:
```
data_BaMoPb2
_chemical_formula_sum 'Ba1 Mo1 Pb2'
_space_group_name_H-M_alt 'P 1'
_space_group_IT_number 1
_space_group_name_Hall 'P 1'
_cell_length_a 4.761
_cell_length_b 4.761
_cell_length_c 7.286
_cell_angle_alpha 109.07
_cell_angle_beta 109.07
_cell_angle_gamma 60.08
loop_
_atom_site_label
_atom_site_fract_x
_atom_site_fract_y
_atom_site_fract_z
_atom_site_occupancy
Ba1 0.000 0.000 0.000 1
Mo1 0.177 0.177 0.533 1
Pb1 0.558 0.558 0.676 1
Pb2 0.788 0.788 0.366 1
```

Most stable structure: A

A.
The following is a GGA-PBE calculation of a geometry-optimized PrNd2Sm structure, from Alexandria via LeMat-Bulk.

Values from the calculation:
As for the symmetry: I-4m2, No. 119. As for the density: 6.826 Mg/m³.

Cell and atoms, written as CIF:
```
data_PrNd2Sm
_chemical_formula_sum 'Pr1 Nd2 Sm1'
_space_group_name_H-M_alt 'P 1'
_space_group_IT_number 1
_space_group_name_Hall 'P 1'
_cell_length_a 6.380
_cell_length_b 6.380
_cell_length_c 6.380
_cell_angle_alpha 131.88
_cell_angle_beta 131.88
_cell_angle_gamma 70.42
loop_
_atom_site_label
_atom_site_fract_x
_atom_site_fract_y
_atom_site_fract_z
_atom_site_occupancy
Pr1 0.000 0.000 0.000 1
Nd1 0.500 0.500 0.000 1
Nd2 0.750 0.250 0.500 1
Sm1 0.250 0.750 0.500 1
```

B.
The following is a GGA-PBE calculation of a geometry-optimized PrNd2Sm structure, from Alexandria via LeMat-Bulk.

Values from the calculation:
As for the symmetry: Fm-3m, No. 225. As for the density: 6.840 Mg/m³.

Cell and atoms, written as CIF:
```
data_PrNd2Sm
_chemical_formula_sum 'Pr1 Nd2 Sm1'
_space_group_name_H-M_alt 'P 1'
_space_group_IT_number 1
_space_group_name_Hall 'P 1'
_cell_length_a 5.839
_cell_length_b 5.839
_cell_length_c 5.839
_cell_angle_alpha 60.00
_cell_angle_beta 60.00
_cell_angle_gamma 60.00
loop_
_atom_site_label
_atom_site_fract_x
_atom_site_fract_y
_atom_site_fract_z
_atom_site_occupancy
Pr1 0.000 0.000 0.000 1
Nd1 0.250 0.250 0.250 1
Nd2 0.750 0.750 0.750 1
Sm1 0.500 0.500 0.500 1
```

Most stable structure: A

A.
The following is a GGA-PBE calculation of a geometry-optimized SrScBe2 structure, from Alexandria via LeMat-Bulk.

Values from the calculation:
As for the symmetry: I-4m2, No. 119. As for the density: 3.123 Mg/m³.

Cell and atoms, written as CIF:
```
data_SrScBe2
_chemical_formula_sum 'Sr1 Sc1 Be2'
_space_group_name_H-M_alt 'P 1'
_space_group_IT_number 1
_space_group_name_Hall 'P 1'
_cell_length_a 5.244
_cell_length_b 5.244
_cell_length_c 5.244
_cell_angle_alpha 131.13
_cell_angle_beta 131.13
_cell_angle_gamma 71.60
loop_
_atom_site_label
_atom_site_fract_x
_atom_site_fract_y
_atom_site_fract_z
_atom_site_occupancy
Sr1 0.000 0.000 0.000 1
Sc1 0.750 0.250 0.500 1
Be1 0.250 0.750 0.500 1
Be2 0.500 0.500 0.000 1
```

B.
The following is a GGA-PBE calculation of a geometry-optimized SrScBe2 structure, from Alexandria via LeMat-Bulk.

Values from the calculation:
As for the symmetry: P4mm, No. 99. As for the density: 3.118 Mg/m³.

Cell and atoms, written as CIF:
```
data_SrScBe2
_chemical_formula_sum 'Sr1 Sc1 Be2'
_space_group_name_H-M_alt 'P 1'
_space_group_IT_number 1
_space_group_name_Hall 'P 1'
_cell_length_a 3.122
_cell_length_b 3.122
_cell_length_c 8.230
_cell_angle_alpha 90.00
_cell_angle_beta 90.00
_cell_angle_gamma 90.00
loop_
_atom_site_label
_atom_site_fract_x
_atom_site_fract_y
_atom_site_fract_z
_atom_site_occupancy
Sr1 0.000 0.000 0.000 1
Sc1 0.500 0.500 0.612 1
Be1 0.000 0.000 0.397 1
Be2 0.500 0.500 0.288 1
```

Most stable structure: B

A.
The following is a GGA-PBE calculation of a geometry-optimized B2C structure, from Alexandria via LeMat-Bulk.

Values from the calculation:
As for the symmetry: Pm, No. 6. As for the density: 2.657 Mg/m³.

Cell and atoms, written as CIF:
```
data_B2C
_chemical_formula_sum 'B8 C4'
_space_group_name_H-M_alt 'P 1'
_space_group_IT_number 1
_space_group_name_Hall 'P 1'
_cell_length_a 4.934
_cell_length_b 2.756
_cell_length_c 6.423
_cell_angle_alpha 90.00
_cell_angle_beta 105.69
_cell_angle_gamma 90.00
loop_
_atom_site_label
_atom_site_fract_x
_atom_site_fract_y
_atom_site_fract_z
_atom_site_occupancy
B1 0.000 0.000 0.000 1
B2 0.017 0.000 0.473 1
B3 0.356 0.500 0.348 1
B4 0.573 0.000 0.962 1
B5 0.590 0.000 0.693 1
B6 0.778 0.500 0.380 1
B7 0.832 0.000 0.217 1
B8 0.970 0.500 0.643 1
C1 0.099 0.500 0.903 1
C2 0.198 0.000 0.287 1
C3 0.412 0.500 0.953 1
C4 0.606 0.500 0.579 1
```

B.
The following is a GGA-PBE calculation of a geometry-optimized B2C structure, from Alexandria via LeMat-Bulk.

Values from the calculation:
As for the symmetry: P-3m1, No. 164. As for the density: 2.912 Mg/m³.

Cell and atoms, written as CIF:
```
data_B2C
_chemical_formula_sum 'B8 C4'
_space_group_name_H-M_alt 'P 1'
_space_group_IT_number 1
_space_group_name_Hall 'P 1'
_cell_length_a 2.740
_cell_length_b 2.740
_cell_length_c 11.798
_cell_angle_alpha 90.00
_cell_angle_beta 90.00
_cell_angle_gamma 120.00
loop_
_atom_site_label
_atom_site_fract_x
_atom_site_fract_y
_atom_site_fract_z
_atom_site_occupancy
B1 0.000 0.000 0.139 1
B2 0.000 0.000 0.300 1
B3 0.000 0.000 0.700 1
B4 0.000 0.000 0.861 1
B5 0.333 0.667 0.811 1
B6 0.333 0.667 0.946 1
B7 0.667 0.333 0.054 1
B8 0.667 0.333 0.189 1
C1 0.333 0.667 0.349 1
C2 0.333 0.667 0.477 1
C3 0.667 0.333 0.523 1
C4 0.667 0.333 0.651 1
```

Most stable structure: A

A.
The following is a GGA-PBE calculation of a geometry-optimized ReB4 structure, from Alexandria via LeMat-Bulk.

Values from the calculation:
As for the symmetry: Pm-3m, No. 221. As for the density: 5.435 Mg/m³.

Cell and atoms, written as CIF:
```
data_ReB4
_chemical_formula_sum 'Re1 B4'
_space_group_name_H-M_alt 'P 1'
_space_group_IT_number 1
_space_group_name_Hall 'P 1'
_cell_length_a 4.123
_cell_length_b 4.123
_cell_length_c 4.123
_cell_angle_alpha 90.00
_cell_angle_beta 90.00
_cell_angle_gamma 90.00
loop_
_atom_site_label
_atom_site_fract_x
_atom_site_fract_y
_atom_site_fract_z
_atom_site_occupancy
Re1 0.000 0.000 0.000 1
B1 0.000 0.000 0.500 1
B2 0.000 0.500 0.000 1
B3 0.500 0.000 0.000 1
B4 0.500 0.500 0.500 1
```

B.
The following is a GGA-PBE calculation of a geometry-optimized ReB4 structure, from Alexandria via LeMat-Bulk.

Values from the calculation:
As for the symmetry: P6_3/mmc, No. 194. As for the density: 9.561 Mg/m³.

Cell and atoms, written as CIF:
```
data_ReB4
_chemical_formula_sum 'Re4 B16'
_space_group_name_H-M_alt 'P 1'
_space_group_IT_number 1
_space_group_name_Hall 'P 1'
_cell_length_a 5.442
_cell_length_b 5.442
_cell_length_c 6.215
_cell_angle_alpha 90.00
_cell_angle_beta 90.00
_cell_angle_gamma 120.00
loop_
_atom_site_label
_atom_site_fract_x
_atom_site_fract_y
_atom_site_fract_z
_atom_site_occupancy
Re1 0.000 0.000 0.250 1
Re2 0.000 0.000 0.750 1
Re3 0.333 0.667 0.250 1
Re4 0.667 0.333 0.750 1
B1 0.000 0.338 0.000 1
B2 0.000 0.338 0.500 1
B3 0.000 0.662 0.000 1
B4 0.000 0.662 0.500 1
B5 0.333 0.667 0.614 1
B6 0.333 0.667 0.886 1
B7 0.338 0.000 0.000 1
B8 0.338 0.000 0.500 1
B9 0.338 0.338 0.000 1
B10 0.338 0.338 0.500 1
B11 0.662 0.000 0.000 1
B12 0.662 0.000 0.500 1
B13 0.662 0.662 0.000 1
B14 0.662 0.662 0.500 1
B15 0.667 0.333 0.114 1
B16 0.667 0.333 0.386 1
```

Most stable structure: B

A.
The following is a GGA-PBE calculation of a geometry-optimized SbTe2P structure, from Alexandria via LeMat-Bulk.

Values from the calculation:
As for the symmetry: P4/mmm, No. 123. As for the density: 6.903 Mg/m³.

Cell and atoms, written as CIF:
```
data_SbTe2P
_chemical_formula_sum 'Sb1 Te2 P1'
_space_group_name_H-M_alt 'P 1'
_space_group_IT_number 1
_space_group_name_Hall 'P 1'
_cell_length_a 3.621
_cell_length_b 3.621
_cell_length_c 7.485
_cell_angle_alpha 90.00
_cell_angle_beta 90.00
_cell_angle_gamma 90.00
loop_
_atom_site_label
_atom_site_fract_x
_atom_site_fract_y
_atom_site_fract_z
_atom_site_occupancy
Sb1 0.000 0.000 0.000 1
Te1 0.500 0.500 0.278 1
Te2 0.500 0.500 0.722 1
P1 0.000 0.000 0.500 1
```

B.
The following is a GGA-PBE calculation of a geometry-optimized SbTe2P structure, from Alexandria via LeMat-Bulk.

Values from the calculation:
As for the symmetry: P4mm, No. 99. As for the density: 5.497 Mg/m³.

Cell and atoms, written as CIF:
```
data_SbTe2P
_chemical_formula_sum 'Sb1 Te2 P1'
_space_group_name_H-M_alt 'P 1'
_space_group_IT_number 1
_space_group_name_Hall 'P 1'
_cell_length_a 3.683
_cell_length_b 3.683
_cell_length_c 9.084
_cell_angle_alpha 90.00
_cell_angle_beta 90.00
_cell_angle_gamma 90.00
loop_
_atom_site_label
_atom_site_fract_x
_atom_site_fract_y
_atom_site_fract_z
_atom_site_occupancy
Sb1 0.000 0.000 0.000 1
Te1 0.000 0.000 0.570 1
Te2 0.500 0.500 0.164 1
P1 0.500 0.500 0.676 1
```

Most stable structure: B